P | Computed, not measured: crystalline Dy3Er2Lu2Te2Ir2 at its relaxed geometry at the PBE level of DFT.

* symmetry: Imm2, No. 44
* magnetic moment: 0.016 μB/f.u.

Geometry as POSCAR:
```
Dy3Er2Lu2Te2Ir2
1.0
-2.888 -0.628 8.822
7.804 4.668 -1.967
-9.189 -1.153 0.889
Ir Lu Te Dy Er
2 2 2 3 2
direct
0.989 0.751 0.239
0.512 0.751 0.761
0.739 0.054 0.685
0.369 0.054 0.315
0.021 0.021 0.000
0.418 0.918 0.500
0.064 0.416 0.648
0.681 0.681 0.000
0.768 0.416 0.352
0.134 0.266 0.868
0.399 0.266 0.132
```



Q | Computed, not measured: crystalline Dy3Er2Lu2Te2Ir2 at its relaxed geometry at the PBE level of DFT.

* symmetry: Imm2, No. 44
* magnetic moment: 0.034 μB/f.u.

Geometry as POSCAR:
```
Dy3Er2Lu2Te2Ir2
1.0
-1.959 7.835 4.684
1.959 -7.835 4.684
1.959 7.835 -4.684
Te Ir Lu Dy Er
2 2 2 3 2
direct
0.414 0.914 0.500
0.022 0.022 0.000
0.994 0.754 0.240
0.514 0.754 0.760
0.397 0.265 0.133
0.132 0.265 0.867
0.370 0.054 0.316
0.682 0.682 0.000
0.738 0.054 0.684
0.063 0.416 0.647
0.769 0.416 0.353
```



R | Computed, not measured: crystalline Dy3Er2Lu2Te2Ir2 at its relaxed geometry at the PBE level of DFT.

* symmetry: Imm2, No. 44
* magnetic moment: 0.023 μB/f.u.

Geometry as POSCAR:
```
Dy3Er2Lu2Te2Ir2
1.0
1.116 -6.693 6.402
-4.657 7.791 2.158
1.067 -8.564 -3.544
Dy Er Ir Te Lu
3 2 2 2 2
direct
0.269 0.416 0.853
0.563 0.416 0.147
0.181 0.681 0.500
0.869 0.053 0.816
0.237 0.053 0.184
0.492 0.752 0.740
0.012 0.752 0.260
0.523 0.023 0.500
0.915 0.915 0.000
0.899 0.266 0.633
0.633 0.266 0.367
```



In terms of stability, P leads; the second structure lies 0.011 eV/atom higher.



P | Computed, not measured: crystalline Dy2ErLu4Te2Ir2 at its relaxed geometry at the PBE level of DFT.

* symmetry: Imm2, No. 44
* magnetic moment: 0.013 μB/f.u.

Geometry as POSCAR:
```
Dy2ErLu4Te2Ir2
1.0
-1.952 7.766 4.683
1.952 -7.766 4.683
1.952 7.766 -4.683
Lu Te Ir Dy Er
4 2 2 2 1
direct
0.060 0.413 0.647
0.740 0.055 0.686
0.369 0.055 0.314
0.765 0.413 0.353
0.017 0.017 0.000
0.421 0.921 0.500
0.519 0.755 0.764
0.991 0.755 0.236
0.133 0.265 0.868
0.396 0.265 0.132
0.683 0.683 0.000
```



Q | Computed, not measured: crystalline Dy2ErLu4Te2Ir2 at its relaxed geometry at the PBE level of DFT.

* symmetry: Imm2, No. 44
* magnetic moment: 0.014 μB/f.u.

Geometry as POSCAR:
```
Dy2ErLu4Te2Ir2
1.0
-1.948 7.770 4.695
1.948 -7.770 4.695
1.948 7.770 -4.695
Er Te Dy Lu Ir
1 2 2 4 2
direct
0.683 0.683 0.000
0.416 0.916 0.500
0.021 0.021 0.000
0.369 0.054 0.315
0.738 0.054 0.685
0.397 0.264 0.132
0.132 0.264 0.868
0.767 0.413 0.353
0.060 0.413 0.647
0.517 0.756 0.762
0.994 0.756 0.238
```



In terms of stability, P leads; the second structure lies 0.021 eV/atom higher.



P | Computed, not measured: crystalline DyEr4Lu2Te2Ir2 at its relaxed geometry at the PBE level of DFT.

* symmetry: Imm2, No. 44
* magnetic moment: 0.018 μB/f.u.

Geometry as POSCAR:
```
DyEr4Lu2Te2Ir2
1.0
-1.959 7.781 4.682
1.959 -7.781 4.682
1.959 7.781 -4.682
Ir Er Lu Te Dy
2 4 2 2 1
direct
0.991 0.753 0.238
0.515 0.753 0.762
0.767 0.414 0.353
0.133 0.265 0.868
0.062 0.414 0.647
0.398 0.265 0.132
0.740 0.054 0.685
0.369 0.054 0.315
0.419 0.919 0.500
0.020 0.020 0.000
0.682 0.682 0.000
```



Q | Computed, not measured: crystalline DyEr4Lu2Te2Ir2 at its relaxed geometry at the PBE level of DFT.

* symmetry: Imm2, No. 44
* magnetic moment: 0.021 μB/f.u.

Geometry as POSCAR:
```
DyEr4Lu2Te2Ir2
1.0
9.257 -0.498 -0.755
-4.063 8.204 1.639
3.548 -8.301 2.238
Er Lu Te Dy Ir
4 2 2 1 2
direct
0.369 0.053 0.315
0.062 0.415 0.647
0.768 0.415 0.353
0.738 0.053 0.685
0.398 0.265 0.133
0.133 0.265 0.867
0.022 0.022 0.000
0.415 0.915 0.500
0.682 0.682 0.000
0.993 0.754 0.239
0.514 0.754 0.761
```



In terms of stability, P leads; the second structure lies 0.011 eV/atom higher.



P | Computed, not measured: crystalline DyEr2Lu4Te2Ir2 at its relaxed geometry at the PBE level of DFT.

* symmetry: Imm2, No. 44
* magnetic moment: 0.016 μB/f.u.

Geometry as POSCAR:
```
DyEr2Lu4Te2Ir2
1.0
-1.950 7.758 4.676
1.950 -7.758 4.676
1.950 7.758 -4.676
Ir Lu Er Te Dy
2 4 2 2 1
direct
0.992 0.755 0.237
0.517 0.755 0.763
0.369 0.054 0.314
0.766 0.413 0.352
0.061 0.413 0.648
0.740 0.054 0.686
0.397 0.265 0.132
0.133 0.265 0.868
0.019 0.019 0.000
0.418 0.918 0.500
0.683 0.683 0.000
```



Q | Computed, not measured: crystalline DyEr2Lu4Te2Ir2 at its relaxed geometry at the PBE level of DFT.

* symmetry: Imm2, No. 44
* magnetic moment: 0.012 μB/f.u.

Geometry as POSCAR:
```
DyEr2Lu4Te2Ir2
1.0
-5.374 -2.764 7.028
6.227 6.718 1.416
-8.119 -3.564 -2.702
Ir Te Lu Er Dy
2 2 4 2 1
direct
0.993 0.755 0.238
0.517 0.755 0.762
0.021 0.021 0.000
0.417 0.917 0.500
0.061 0.414 0.647
0.397 0.265 0.132
0.767 0.414 0.353
0.132 0.265 0.868
0.369 0.054 0.315
0.739 0.054 0.685
0.683 0.683 0.000
```



In terms of stability, P leads; the second structure lies 0.012 eV/atom higher.